{"formula": "Cu5Ge2", "functional": "PBE-GGA", "state": "optimized geometry", "e_tot_ev_per_atom": -4.183, "magnetic_moment_mub_per_cell": 0.0, "e_above_lowest_polymorph_mev_per_atom": 20, "volume_a3_per_atom": 13.9, "formation_enthalpy_0k_ev_per_fu": 0.44, "dos_ef_per_ev_cell": 1.9, "sg": "R3m (160)", "lattice_angstrom": [[6.963, -0.028, -0.017], [5.745, 3.934, -0.017], [5.745, 1.766, 3.516]], "species": ["Cu", "Cu", "Cu", "Cu", "Cu", "Ge", "Ge"], "frac_coords": [[0.875, 0.875, 0.875], [0.129, 0.129, 0.129], [0.745, 0.745, 0.745], [0.620, 0.620, 0.620], [0.263, 0.263, 0.263], [0.004, 0.004, 0.004], [0.490, 0.490, 0.490]]}